[1]
Y2HfAuN, optimized geometry, DFT GGA-PBE; magnetization = 0.00 μB/f.u.; formation energy from raw total energies = -0.9290 eV per atom; calculated total energy = -7.826 eV per atom; space-group type = P4/mmm
1.0
-4.792 0.063 0.171
-0.053 -4.787 0.279
0.159 0.252 4.355
Y Hf Au N
2 1 1 1
Direct
0.000 0.500 0.000
0.500 0.000 0.000
0.000 0.000 0.500
0.500 0.500 0.500
0.000 0.000 0.000

[2]
HfZr3Au2N, optimized geometry, DFT GGA-PBE; magnetization = 0.00 μB/f.u.; formation energy from raw total energies = -0.7514 eV per atom; calculated total energy = -7.963 eV per atom; space-group type = Immm
1.0
4.382 0.000 0.000
0.000 4.426 0.000
-2.191 -2.213 7.011
Hf Zr Au N
1 3 2 1
Direct
0.500 0.000 0.000
0.000 0.500 0.000
0.172 0.172 0.344
0.828 0.828 0.656
0.633 0.633 0.267
0.367 0.367 0.733
0.000 0.000 0.000

[3]
Hf2ZrAuN, optimized geometry, DFT GGA-PBE; magnetization = 0.00 μB/f.u.; formation energy from raw total energies = -0.9435 eV per atom; calculated total energy = -8.955 eV per atom; space-group type = P4/mmm
1.0
-1.029 -3.004 3.058
1.428 -3.205 -2.668
4.104 0.374 1.747
Hf Au Zr N
2 1 1 1
Direct
0.000 0.500 0.000
0.500 0.000 0.000
0.500 0.500 0.500
0.000 0.000 0.500
0.000 0.000 0.000

[4]
NaHfAu, optimized geometry, DFT GGA-PBE; magnetization = 0.00 μB/f.u.; calculated total energy = -4.833 eV per atom; space-group type = R-3m; formation energy = 0.02 eV/atom
1.0
4.628 0.000 0.000
2.314 4.008 0.000
2.314 1.336 8.215
Hf Na Au
2 2 2
Direct
0.293 0.293 0.120
0.707 0.707 0.880
0.132 0.132 0.603
0.868 0.868 0.397
0.402 0.402 0.795
0.598 0.598 0.205

- magnetization of number 4 (NaHfAu)?
  0.00 μB/f.u.